Computed, not measured: a relaxed structure of Co5Se4 at the GGA-PBE level of DFT.

Cell lengths 6.349, 6.349, 6.349 Å; angles 94.62, 94.62, 147.02 degrees
Last column: magnetic moment on the atom in μB.
Atoms (fractional coordinates):
Se 0.061 0.271 0.331  0.05
Se 0.729 0.061 0.790  0.05
Se 0.271 0.939 0.210  0.05
Se 0.939 0.729 0.669  0.05
Co 0.000 0.000 0.000  1.19
Co 0.381 0.685 0.065  1.12
Co 0.315 0.381 0.696  1.12
Co 0.685 0.619 0.304  1.12
Co 0.619 0.315 0.935  1.12

Results
Final energy = -5.61 eV/atom
Magnetization = 5.93 μB per cell